(1)
Material: CeCd11
Method: DFT, SCAN
State: single point on PBEsol structure

As for the electronic total energy: -31.78 eV/atom. Its total magnetization is 1.124 μB/f.u. Its symmetry is No. 221. The calculation puts the calculated formation energy at -184 meV per atom. The theoretical density is 8.8 Mg/m³.

Lattice parameters (Å, degrees): 9.2122 9.2122 9.2122 90.00 90.00 90.00
Closest atoms and distances in Å follow each position.
Element x y z (fractional)
Cd 0.8431 0.1569 0.1569  6 Cd 2.84-2.89
Cd 0.2657 0.5000 0.7343  9 Cd 2.93-3.05
Cd 0.0000 0.3450 0.6550  8 Cd 2.84-2.93
Cd 0.8431 0.8431 0.1569  6 Cd 2.84-2.89
Cd 0.2657 0.2657 0.5000  9 Cd 2.93-3.05
Cd 0.0000 0.6550 0.6550  8 Cd 2.84-2.93
Cd 0.7343 0.5000 0.2657  9 Cd 2.93-3.05
Cd 0.2657 0.5000 0.2657  9 Cd 2.93-3.05
Cd 0.2657 0.7343 0.5000  9 Cd 2.93-3.05
Cd 0.6550 0.0000 0.3450  8 Cd 2.84-2.93
Cd 0.5000 0.7343 0.7343  9 Cd 2.93-3.05
Cd 0.5000 0.2657 0.7343  9 Cd 2.93-3.05
Cd 0.5000 0.2657 0.2657  9 Cd 2.93-3.05
Cd 0.7343 0.5000 0.7343  9 Cd 2.93-3.05
Cd 0.5000 0.5000 0.5000  12 Cd 3.05
Cd 0.8431 0.1569 0.8431  6 Cd 2.84-2.89
Cd 0.7343 0.7343 0.5000  9 Cd 2.93-3.05
Cd 0.6550 0.0000 0.6550  8 Cd 2.84-2.93
Cd 0.1569 0.1569 0.1569  6 Cd 2.84-2.89
Cd 0.7343 0.2657 0.5000  9 Cd 2.93-3.05
Cd 0.8431 0.8431 0.8431  6 Cd 2.84-2.89
Cd 0.1569 0.8431 0.8431  6 Cd 2.84-2.89
Cd 0.5000 0.7343 0.2657  9 Cd 2.93-3.05
Cd 0.1569 0.1569 0.8431  6 Cd 2.84-2.89
Cd 0.3450 0.0000 0.3450  8 Cd 2.84-2.93
Cd 0.0000 0.6550 0.3450  8 Cd 2.84-2.93
Cd 0.6550 0.3450 0.0000  8 Cd 2.84-2.93
Cd 0.3450 0.0000 0.6550  8 Cd 2.84-2.93
Cd 0.0000 0.3450 0.3450  8 Cd 2.84-2.93
Cd 0.3450 0.6550 0.0000  8 Cd 2.84-2.93
Cd 0.6550 0.6550 0.0000  8 Cd 2.84-2.93
Cd 0.3450 0.3450 0.0000  8 Cd 2.84-2.93
Cd 0.1569 0.8431 0.1569  6 Cd 2.84-2.89
Ce 0.0000 0.5000 0.0000  20 Cd 3.46-3.76
Ce 0.5000 0.0000 0.0000  20 Cd 3.46-3.76
Ce 0.0000 0.0000 0.5000  20 Cd 3.46-3.76

***

(2)
Material: CeEuCd2
Method: DFT, SCAN
State: single point on PBEsol structure

As for the electronic total energy: -40.08 eV/atom. Its total magnetization is 8.308 μB/f.u. Its symmetry is No. 225. The calculation puts the calculated formation energy at -301 meV per atom. The theoretical density is 7.9 Mg/m³.

Lattice parameters (Å, degrees): 5.3606 5.3606 5.3606 60.00 60.00 60.00
Closest atoms and distances in Å follow each position.
Element x y z (fractional)
Eu 0.0000 0.0000 0.0000  8 Cd 3.28
Ce 0.5000 0.5000 0.5000  8 Cd 3.28
Cd 0.2500 0.2500 0.2500  4 Eu 3.28, 4 Ce 3.28
Cd 0.7500 0.7500 0.7500  4 Ce 3.28, 4 Eu 3.28

***

(3)
Material: CeCdHg2
Method: DFT, SCAN
State: single point on PBEsol structure

As for the electronic total energy: -53.33 eV/atom. Its total magnetization is 1.076 μB/f.u. Its symmetry is No. 225. The calculation puts the calculated formation energy at -500 meV per atom. The theoretical density is 11.8 Mg/m³.

Lattice parameters (Å, degrees): 5.0700 5.0700 5.0700 60.00 60.00 60.00
Closest atoms and distances in Å follow each position.
Element x y z (fractional)
Hg 0.2500 0.2500 0.2500  4 Cd 3.10, 4 Ce 3.10
Hg 0.7500 0.7500 0.7500  4 Cd 3.10, 4 Ce 3.10
Ce 0.0000 0.0000 0.0000  8 Hg 3.10
Cd 0.5000 0.5000 0.5000  8 Hg 3.10

***

(4)
Material: Ce2CdHg
Method: DFT, SCAN
State: single point on PBEsol structure

As for the electronic total energy: -47.29 eV/atom. Its total magnetization is 2.965 μB/f.u. Its symmetry is No. 225. The calculation puts the calculated formation energy at -360 meV per atom. The theoretical density is 9.4 Mg/m³.

Lattice parameters (Å, degrees): 5.2991 5.2991 5.2991 60.00 60.00 60.00
Closest atoms and distances in Å follow each position.
Element x y z (fractional)
Ce 0.2500 0.2500 0.2500  4 Cd 3.25, 4 Hg 3.25
Ce 0.7500 0.7500 0.7500  4 Cd 3.25, 4 Hg 3.25
Hg 0.0000 0.0000 0.0000  8 Ce 3.25
Cd 0.5000 0.5000 0.5000  8 Ce 3.25

***

(5)
Material: Ce4CdIr
Method: DFT, SCAN
State: single point on PBEsol structure

As for the electronic total energy: -47.07 eV/atom. Its total magnetization is 4.639 μB/f.u. Its symmetry is No. 216. The calculation puts the calculated formation energy at -438 meV per atom. The theoretical density is 9.3 Mg/m³.

Lattice parameters (Å, degrees): 9.5569 9.5569 9.5569 60.00 60.00 60.00
Closest atoms and distances in Å follow each position.
Element x y z (fractional)
Ce 0.1957 0.1957 0.8043  2 Ir 2.79
Ce 0.0615 0.0615 0.4385  2 Cd 3.28, 10 Ce 3.44-3.60, 2 Ir 3.44
Ce 0.8043 0.1957 0.8043  2 Ir 2.79
Ce 0.0498 0.6501 0.6501  3 Ir 2.83
Ce 0.1957 0.8043 0.8043  2 Ir 2.79
Ce 0.4385 0.0615 0.4385  2 Cd 3.28, 10 Ce 3.44-3.60, 2 Ir 3.44
Ce 0.4385 0.4385 0.0615  2 Cd 3.28, 10 Ce 3.44-3.60, 2 Ir 3.44
Ce 0.1957 0.8043 0.1957  2 Ir 2.79
Ce 0.8043 0.8043 0.1957  2 Ir 2.79
Ce 0.6501 0.6501 0.0498  3 Ir 2.83
Ce 0.6501 0.0498 0.6501  3 Ir 2.83
Ce 0.6501 0.6501 0.6501  3 Ir 2.83
Ce 0.0615 0.4385 0.0615  2 Cd 3.28, 10 Ce 3.44-3.60, 2 Ir 3.44
Ce 0.8043 0.1957 0.1957  2 Ir 2.79
Ce 0.4385 0.0615 0.0615  2 Cd 3.28, 10 Ce 3.44-3.60, 2 Ir 3.44
Ce 0.0615 0.4385 0.4385  2 Cd 3.28, 10 Ce 3.44-3.60, 2 Ir 3.44
Cd 0.4212 0.4212 0.7364  3 Cd 3.01, 3 Ce 3.28
Cd 0.4212 0.7364 0.4212  3 Cd 3.01, 3 Ce 3.28
Cd 0.4212 0.4212 0.4212  3 Cd 3.01, 3 Ce 3.28
Cd 0.7364 0.4212 0.4212  3 Cd 3.01, 3 Ce 3.28
Ir 0.4220 0.8593 0.8593  6 Ce 2.79-2.83
Ir 0.8593 0.8593 0.4220  6 Ce 2.79-2.83
Ir 0.8593 0.4220 0.8593  6 Ce 2.79-2.83
Ir 0.8593 0.8593 0.8593  6 Ce 2.79-2.83

***

(6)
Material: CeMg14Cd
Method: DFT, SCAN
State: single point on PBEsol structure

As for the electronic total energy: -9.04 eV/atom. Its total magnetization is 1.244 μB/f.u. Its symmetry is No. 38. The calculation puts the calculated formation energy at -4 meV per atom. The theoretical density is 2.6 Mg/m³.

Lattice parameters (Å, degrees): 6.3994 6.5276 10.2184 90.00 90.00 119.35
Closest atoms and distances in Å follow each position.
Element x y z (fractional)
Mg 0.8324 0.1619 0.2463  10 Mg 3.12-3.31, 1 Cd 3.17, 1 Ce 3.23
Mg 0.3341 0.6681 0.2421  11 Mg 3.11-3.29, 1 Ce 3.19
Mg 0.6716 0.8321 0.0000  12 Mg 3.11-3.30
Mg 0.3295 0.1619 0.7537  10 Mg 3.12-3.31, 1 Cd 3.17, 1 Ce 3.23
Mg 0.3341 0.6681 0.7579  11 Mg 3.11-3.29, 1 Ce 3.19
Mg 0.1668 0.3335 0.0000  12 Mg 3.12-3.27
Mg 0.8264 0.6528 0.2665  1 Cd 3.07, 11 Mg 3.12-3.31
Mg 0.6673 0.3347 0.0000  12 Mg 3.15-3.29
Mg 0.8324 0.1619 0.7537  10 Mg 3.12-3.31, 1 Cd 3.17, 1 Ce 3.23
Mg 0.1858 0.8553 0.5000  1 Cd 3.03, 8 Mg 3.10-3.30, 2 Ce 3.25-3.28
Mg 0.8264 0.6528 0.7335  1 Cd 3.07, 11 Mg 3.12-3.31
Mg 0.6696 0.8553 0.5000  1 Cd 3.03, 8 Mg 3.10-3.30, 2 Ce 3.25-3.28
Mg 0.1605 0.8321 0.0000  12 Mg 3.11-3.30
Mg 0.3295 0.1619 0.2463  10 Mg 3.12-3.31, 1 Cd 3.17, 1 Ce 3.23
Cd 0.6570 0.3141 0.5000  8 Mg 3.03-3.17, 2 Ce 3.21
Ce 0.1767 0.3534 0.5000  10 Mg 3.19-3.28, 2 Cd 3.21

***

(7)
Material: CeMgCd2
Method: DFT, SCAN
State: single point on PBEsol structure

As for the electronic total energy: -27.95 eV/atom. Its total magnetization is 1.163 μB/f.u. Its symmetry is No. 225. The calculation puts the calculated formation energy at -357 meV per atom. The theoretical density is 6.9 Mg/m³.

Lattice parameters (Å, degrees): 5.1040 5.1040 5.1040 60.00 60.00 60.00
Closest atoms and distances in Å follow each position.
Element x y z (fractional)
Cd 0.2500 0.2500 0.2500  4 Ce 3.13, 4 Mg 3.13
Cd 0.7500 0.7500 0.7500  4 Ce 3.13, 4 Mg 3.13
Mg 0.0000 0.0000 0.0000  8 Cd 3.13
Ce 0.5000 0.5000 0.5000  8 Cd 3.13

***

(8)
Material: CeCdNi4
Method: DFT, SCAN
State: single point on PBEsol structure

As for the electronic total energy: -23.59 eV/atom. Its total magnetization is 0.000 μB/f.u. Its symmetry is No. 216. The calculation puts the calculated formation energy at -307 meV per atom. The theoretical density is 9.6 Mg/m³.

Lattice parameters (Å, degrees): 4.9193 4.9193 4.9193 60.00 60.00 60.00
Closest atoms and distances in Å follow each position.
Element x y z (fractional)
Ni 0.8780 0.3740 0.3740  6 Ni 2.44-2.48
Ni 0.3740 0.3740 0.8780  6 Ni 2.44-2.48
Ni 0.3740 0.3740 0.3740  6 Ni 2.44-2.48
Ni 0.3740 0.8780 0.3740  6 Ni 2.44-2.48
Cd 0.0000 0.0000 0.0000  12 Ni 2.88, 4 Ce 3.01
Ce 0.7500 0.7500 0.7500  12 Ni 2.89, 4 Cd 3.01

***

(9)
Material: Ce4CdNi
Method: DFT, SCAN
State: single point on PBEsol structure

As for the electronic total energy: -37.62 eV/atom. Its total magnetization is 4.899 μB/f.u. Its symmetry is No. 216. The calculation puts the calculated formation energy at -150 meV per atom. The theoretical density is 8.3 Mg/m³.

Lattice parameters (Å, degrees): 9.3784 9.3784 9.3784 60.00 60.00 60.00
Closest atoms and distances in Å follow each position.
Element x y z (fractional)
Ce 0.9445 0.9445 0.5555  2 Ni 2.74
Ce 0.5555 0.9445 0.5555  2 Ni 2.74
Ce 0.8095 0.1905 0.8095  2 Cd 3.22, 10 Ce 3.35-3.57, 2 Ni 3.35
Ce 0.8095 0.8095 0.1905  2 Cd 3.22, 10 Ce 3.35-3.57, 2 Ni 3.35
Ce 0.8095 0.1905 0.1905  2 Cd 3.22, 10 Ce 3.35-3.57, 2 Ni 3.35
Ce 0.1905 0.1905 0.8095  2 Cd 3.22, 10 Ce 3.35-3.57, 2 Ni 3.35
Ce 0.7949 0.4017 0.4017  3 Ni 2.76
Ce 0.5555 0.9445 0.9445  2 Ni 2.74
Ce 0.9445 0.5555 0.9445  2 Ni 2.74
Ce 0.4017 0.4017 0.7949  3 Ni 2.76
Ce 0.9445 0.5555 0.5555  2 Ni 2.74
Ce 0.1905 0.8095 0.1905  2 Cd 3.22, 10 Ce 3.35-3.57, 2 Ni 3.35
Ce 0.5555 0.5555 0.9445  2 Ni 2.74
Ce 0.4017 0.4017 0.4017  3 Ni 2.76
Ce 0.4017 0.7949 0.4017  3 Ni 2.76
Ce 0.1905 0.8095 0.8095  2 Cd 3.22, 10 Ce 3.35-3.57, 2 Ni 3.35
Cd 0.1714 0.1714 0.4859  3 Cd 2.95, 3 Ce 3.22
Cd 0.1714 0.4859 0.1714  3 Cd 2.95, 3 Ce 3.22
Cd 0.4859 0.1714 0.1714  3 Cd 2.95, 3 Ce 3.22
Cd 0.1714 0.1714 0.1714  3 Cd 2.95, 3 Ce 3.22
Ni 0.6091 0.6091 0.1728  6 Ce 2.74-2.76
Ni 0.6091 0.1728 0.6091  6 Ce 2.74-2.76
Ni 0.6091 0.6091 0.6091  6 Ce 2.74-2.76
Ni 0.1728 0.6091 0.6091  6 Ce 2.74-2.76

***

(10)
Material: CeCd20Ni2
Method: DFT, SCAN
State: single point on PBEsol structure

As for the electronic total energy: -29.89 eV/atom. Its total magnetization is 1.182 μB/f.u. Its symmetry is No. 227. The calculation puts the calculated formation energy at -96 meV per atom. The theoretical density is 9.1 Mg/m³.

Lattice parameters (Å, degrees): 10.9080 10.9080 10.9080 60.00 60.00 60.00
Closest atoms and distances in Å follow each position.
Element x y z (fractional)
Cd 0.9202 0.4494 0.4494  8 Cd 2.85-3.13, 1 Ni 3.01
Cd 0.1811 0.9202 0.4494  8 Cd 2.85-3.13, 1 Ni 3.01
Cd 0.9202 0.4494 0.1811  8 Cd 2.85-3.13, 1 Ni 3.01
Cd 0.8006 0.0689 0.3298  8 Cd 2.85-3.13, 1 Ni 3.01
Cd 0.4494 0.4494 0.1811  8 Cd 2.85-3.13, 1 Ni 3.01
Cd 0.3635 0.6365 0.3635  2 Ni 2.73, 10 Cd 2.90-3.05
Cd 0.4494 0.1811 0.4494  8 Cd 2.85-3.13, 1 Ni 3.01
Cd 0.4494 0.1811 0.9202  8 Cd 2.85-3.13, 1 Ni 3.01
Cd 0.8006 0.3298 0.0689  8 Cd 2.85-3.13, 1 Ni 3.01
Cd 0.6250 0.1250 0.1250  12 Cd 3.28, 2 Ce 3.34
Cd 0.4494 0.9202 0.4494  8 Cd 2.85-3.13, 1 Ni 3.01
Cd 0.4494 0.9202 0.1811  8 Cd 2.85-3.13, 1 Ni 3.01
Cd 0.4494 0.4494 0.9202  8 Cd 2.85-3.13, 1 Ni 3.01
Cd 0.1250 0.6250 0.1250  12 Cd 3.28, 2 Ce 3.34
Cd 0.8006 0.8006 0.3298  8 Cd 2.85-3.13, 1 Ni 3.01
Cd 0.1811 0.4494 0.9202  8 Cd 2.85-3.13, 1 Ni 3.01
Cd 0.6135 0.8865 0.6135  2 Ni 2.73, 10 Cd 2.90-3.05
Cd 0.8006 0.8006 0.0689  8 Cd 2.85-3.13, 1 Ni 3.01
Cd 0.6365 0.3635 0.6365  2 Ni 2.73, 10 Cd 2.90-3.05
Cd 0.0689 0.8006 0.8006  8 Cd 2.85-3.13, 1 Ni 3.01
Cd 0.1250 0.1250 0.1250  12 Cd 3.28, 2 Ce 3.34
Cd 0.1250 0.1250 0.6250  12 Cd 3.28, 2 Ce 3.34
Cd 0.8865 0.6135 0.6135  2 Ni 2.73, 10 Cd 2.90-3.05
Cd 0.6365 0.6365 0.3635  2 Ni 2.73, 10 Cd 2.90-3.05
Cd 0.1811 0.4494 0.4494  8 Cd 2.85-3.13, 1 Ni 3.01
Cd 0.6135 0.8865 0.8865  2 Ni 2.73, 10 Cd 2.90-3.05
Cd 0.9202 0.1811 0.4494  8 Cd 2.85-3.13, 1 Ni 3.01
Cd 0.6365 0.3635 0.3635  2 Ni 2.73, 10 Cd 2.90-3.05
Cd 0.8865 0.6135 0.8865  2 Ni 2.73, 10 Cd 2.90-3.05
Cd 0.3298 0.0689 0.8006  8 Cd 2.85-3.13, 1 Ni 3.01
Cd 0.6135 0.6135 0.8865  2 Ni 2.73, 10 Cd 2.90-3.05
Cd 0.8006 0.3298 0.8006  8 Cd 2.85-3.13, 1 Ni 3.01
Cd 0.8006 0.0689 0.8006  8 Cd 2.85-3.13, 1 Ni 3.01
Cd 0.3635 0.6365 0.6365  2 Ni 2.73, 10 Cd 2.90-3.05
Cd 0.3298 0.8006 0.8006  8 Cd 2.85-3.13, 1 Ni 3.01
Cd 0.3635 0.3635 0.6365  2 Ni 2.73, 10 Cd 2.90-3.05
Cd 0.0689 0.3298 0.8006  8 Cd 2.85-3.13, 1 Ni 3.01
Cd 0.3298 0.8006 0.0689  8 Cd 2.85-3.13, 1 Ni 3.01
Cd 0.8865 0.8865 0.6135  2 Ni 2.73, 10 Cd 2.90-3.05
Cd 0.0689 0.8006 0.3298  8 Cd 2.85-3.13, 1 Ni 3.01
Ni 0.6250 0.6250 0.6250  12 Cd 2.73-3.01
Ni 0.6250 0.6250 0.1250  12 Cd 2.73-3.01
Ni 0.6250 0.1250 0.6250  12 Cd 2.73-3.01
Ni 0.1250 0.6250 0.6250  12 Cd 2.73-3.01
Ce 0.0000 0.0000 0.0000  16 Cd 3.34-3.39
Ce 0.2500 0.2500 0.2500  16 Cd 3.34-3.39